Entry P
# Ba2MgHg

An optimized crystal structure of Ba2MgHg (GGA-PBEsol, Alexandria via LeMat-Bulk).

Properties
DOS at the Fermi energy, states/eV per atom: 0.76
Space group: Pmm2, No. 25
M_tot, μB per cell: 0.0
Density, Mg/m³: 5.66

Unit cell a=4.202 b=5.905 c=5.906 alpha=90.00 beta=90.00 gamma=90.00
Positions (direct):
1 Ba 0.000 0.000 0.000
2 Ba 0.000 0.500 0.500
3 Mg 0.500 0.000 0.499
4 Hg 0.500 0.500 0.001


Entry Q
# Ba2MgHg

An optimized crystal structure of Ba2MgHg (GGA-PBEsol, Alexandria via LeMat-Bulk).

Properties
DOS at the Fermi energy, states/eV per atom: 1.09
Space group: Imm2, No. 44
M_tot, μB per cell: 0.0
Density, Mg/m³: 5.80

Unit cell a=6.995 b=6.995 c=6.995 alpha=146.67 beta=129.75 gamma=61.64
Positions (direct):
1 Ba 0.000 0.000 0.000
2 Ba 0.691 0.191 0.500
3 Mg 0.410 0.410 0.000
4 Hg 0.240 0.740 0.500


Going by the computed energies, the most stable comes first: entry P, entry Q.


Entry P
# Ag2PtAu

An optimized crystal structure of Ag2PtAu (GGA-PBEsol, Alexandria via LeMat-Bulk).

Properties
DOS at the Fermi energy, states/eV per atom: 0.40
Space group: I4/mmm, No. 139
M_tot, μB per cell: 0.0
Density, Mg/m³: 15.67

Unit cell a=4.931 b=4.931 c=4.931 alpha=132.24 beta=132.24 gamma=69.85
Positions (direct):
1 Ag 0.250 0.750 0.500
2 Ag 0.750 0.250 0.500
3 Pt 0.000 0.000 0.000
4 Au 0.500 0.500 0.000


Entry Q
# Ag2PtAu

An optimized crystal structure of Ag2PtAu (GGA-PBEsol, Alexandria via LeMat-Bulk).

Properties
DOS at the Fermi energy, states/eV per atom: 0.36
Space group: R3m, No. 160
M_tot, μB per cell: 0.0
Density, Mg/m³: 15.69

Unit cell a=9.590 b=9.590 c=9.590 alpha=16.81 beta=16.81 gamma=16.81
Positions (direct):
1 Ag 0.000 0.000 0.000
2 Ag 0.250 0.250 0.250
3 Pt 0.502 0.502 0.502
4 Au 0.751 0.751 0.751


Going by the computed energies, the most stable comes first: entry Q, entry P.


Entry P
# LiAg2

An optimized crystal structure of LiAg2 (GGA-PBEsol, Alexandria via LeMat-Bulk).

Properties
DOS at the Fermi energy, states/eV per atom: 0.24
Space group: Pnma, No. 62
M_tot, μB per cell: 0.0
Density, Mg/m³: 7.82

Unit cell a=5.604 b=4.010 c=8.419 alpha=90.00 beta=90.00 gamma=90.00
Positions (direct):
1 Li 0.142 0.250 0.089
2 Li 0.358 0.750 0.589
3 Li 0.642 0.250 0.411
4 Li 0.858 0.750 0.911
5 Ag 0.113 0.250 0.756
6 Ag 0.134 0.250 0.419
7 Ag 0.366 0.750 0.919
8 Ag 0.387 0.750 0.256
9 Ag 0.613 0.250 0.744
10 Ag 0.634 0.250 0.081
11 Ag 0.866 0.750 0.581
12 Ag 0.887 0.750 0.244


Entry Q
# LiAg2

An optimized crystal structure of LiAg2 (GGA-PBEsol, Alexandria via LeMat-Bulk).

Properties
DOS at the Fermi energy, states/eV per atom: 0.26
Space group: P6_3/mmc, No. 194
M_tot, μB per cell: 0.0
Density, Mg/m³: 6.60

Unit cell a=5.411 b=5.411 c=17.675 alpha=90.00 beta=90.00 gamma=120.00
Positions (direct):
1 Li 0.000 0.000 0.096
2 Li 0.000 0.000 0.404
3 Li 0.000 0.000 0.596
4 Li 0.000 0.000 0.904
5 Li 0.333 0.667 0.156
6 Li 0.333 0.667 0.344
7 Li 0.667 0.333 0.656
8 Li 0.667 0.333 0.844
9 Ag 0.000 0.500 0.000
10 Ag 0.000 0.500 0.500
11 Ag 0.164 0.328 0.750
12 Ag 0.164 0.836 0.750
13 Ag 0.328 0.164 0.250
14 Ag 0.333 0.667 0.625
15 Ag 0.333 0.667 0.875
16 Ag 0.500 0.000 0.000
17 Ag 0.500 0.000 0.500
18 Ag 0.500 0.500 0.000
19 Ag 0.500 0.500 0.500
20 Ag 0.667 0.333 0.125
21 Ag 0.667 0.333 0.375
22 Ag 0.672 0.836 0.750
23 Ag 0.836 0.164 0.250
24 Ag 0.836 0.672 0.250


Going by the computed energies, the most stable comes first: entry P, entry Q.


Entry P
# TcPt2Br

An optimized crystal structure of TcPt2Br (GGA-PBEsol, Alexandria via LeMat-Bulk).

Properties
DOS at the Fermi energy, states/eV per atom: 1.02
Space group: Cmm2, No. 35
M_tot, μB per cell: 0.0
Density, Mg/m³: 14.50

Unit cell a=2.795 b=2.795 c=9.627 alpha=90.00 beta=90.00 gamma=120.10
Positions (direct):
1 Tc 0.000 0.000 0.000
2 Pt 0.000 0.000 0.521
3 Pt 0.500 0.500 0.768
4 Br 0.500 0.500 0.228


Entry Q
# TcPt2Br

An optimized crystal structure of TcPt2Br (GGA-PBEsol, Alexandria via LeMat-Bulk).

Properties
DOS at the Fermi energy, states/eV per atom: 0.84
Space group: Pmm2, No. 25
M_tot, μB per cell: 0.0
Density, Mg/m³: 13.54

Unit cell a=2.908 b=3.528 c=6.791 alpha=90.00 beta=90.00 gamma=90.00
Positions (direct):
1 Tc 0.000 0.000 0.000
2 Pt 0.000 0.000 0.392
3 Pt 0.500 0.500 0.177
4 Br 0.000 0.500 0.716


Going by the computed energies, the most stable comes first: entry Q, entry P.


Entry P
# RhSe2Br

An optimized crystal structure of RhSe2Br (GGA-PBEsol, Alexandria via LeMat-Bulk).

Properties
DOS at the Fermi energy, states/eV per atom: 0.72
Space group: Immm, No. 71
M_tot, μB per cell: 0.0
Density, Mg/m³: 7.30

Unit cell a=6.058 b=6.058 c=6.058 alpha=151.27 beta=133.13 gamma=55.91
Positions (direct):
1 Rh 0.000 0.000 0.000
2 Se 0.190 0.690 0.500
3 Se 0.810 0.310 0.500
4 Br 0.500 0.500 0.000


Entry Q
# RhSe2Br

An optimized crystal structure of RhSe2Br (GGA-PBEsol, Alexandria via LeMat-Bulk).

Properties
DOS at the Fermi energy, states/eV per atom: 0.62
Space group: P4/mmm, No. 123
M_tot, μB per cell: 0.0
Density, Mg/m³: 6.91

Unit cell a=2.979 b=2.979 c=9.233 alpha=90.00 beta=90.00 gamma=90.00
Positions (direct):
1 Rh 0.000 0.000 0.000
2 Se 0.500 0.500 0.170
3 Se 0.500 0.500 0.830
4 Br 0.000 0.000 0.500


Going by the computed energies, the most stable comes first: entry Q, entry P.


Entry P
# Al2SiTe

An optimized crystal structure of Al2SiTe (GGA-PBEsol, Alexandria via LeMat-Bulk).

Properties
DOS at the Fermi energy, states/eV per atom: 0.48
Space group: R-3m, No. 166
M_tot, μB per cell: 0.0
Density, Mg/m³: 4.26

Unit cell a=6.649 b=6.649 c=6.649 alpha=33.95 beta=33.95 gamma=33.95
Positions (direct):
1 Al 0.235 0.235 0.235
2 Al 0.765 0.765 0.765
3 Si 0.500 0.500 0.500
4 Te 0.000 0.000 0.000


Entry Q
# Al2SiTe

An optimized crystal structure of Al2SiTe (GGA-PBEsol, Alexandria via LeMat-Bulk).

Properties
DOS at the Fermi energy, states/eV per atom: 0.51
Space group: I-4m2, No. 119
M_tot, μB per cell: 0.0
Density, Mg/m³: 4.38

Unit cell a=5.833 b=5.833 c=5.833 alpha=140.55 beta=140.55 gamma=57.02
Positions (direct):
1 Al 0.000 0.000 0.000
2 Al 0.750 0.250 0.500
3 Si 0.500 0.500 0.000
4 Te 0.250 0.750 0.500


Going by the computed energies, the most stable comes first: entry P, entry Q.


Entry P
# Li2TaTc

An optimized crystal structure of Li2TaTc (GGA-PBEsol, Alexandria via LeMat-Bulk).

Properties
DOS at the Fermi energy, states/eV per atom: 0.59
Space group: Immm, No. 71
M_tot, μB per cell: 0.0
Density, Mg/m³: 8.02

Unit cell a=5.482 b=5.482 c=5.482 alpha=147.36 beta=136.61 gamma=55.34
Positions (direct):
1 Li 0.241 0.241 0.000
2 Li 0.759 0.759 0.000
3 Ta 0.500 0.000 0.500
4 Tc 0.000 0.500 0.500


Entry Q
# Li2TaTc

An optimized crystal structure of Li2TaTc (GGA-PBEsol, Alexandria via LeMat-Bulk).

Properties
DOS at the Fermi energy, states/eV per atom: 0.62
Space group: Imm2, No. 44
M_tot, μB per cell: 0.0
Density, Mg/m³: 8.83

Unit cell a=4.596 b=4.596 c=4.596 alpha=135.75 beta=123.58 gamma=74.38
Positions (direct):
1 Li 0.000 0.000 0.000
2 Li 0.798 0.298 0.500
3 Ta 0.268 0.768 0.500
4 Tc 0.542 0.542 0.000


Going by the computed energies, the most stable comes first: entry P, entry Q.


Entry P
# Mg2SbTe

An optimized crystal structure of Mg2SbTe (GGA-PBEsol, Alexandria via LeMat-Bulk).

Properties
DOS at the Fermi energy, states/eV per atom: 0.51
Space group: I4/mmm, No. 139
M_tot, μB per cell: 0.0
Density, Mg/m³: 5.14

Unit cell a=5.267 b=5.267 c=5.267 alpha=124.00 beta=124.00 gamma=83.20
Positions (direct):
1 Mg 0.250 0.750 0.500
2 Mg 0.750 0.250 0.500
3 Sb 0.000 0.000 0.000
4 Te 0.500 0.500 0.000


Entry Q
# Mg2SbTe

An optimized crystal structure of Mg2SbTe (GGA-PBEsol, Alexandria via LeMat-Bulk).

Properties
DOS at the Fermi energy, states/eV per atom: 0.58
Space group: Pm, No. 6
M_tot, μB per cell: 0.0
Density, Mg/m³: 4.85

Unit cell a=3.924 b=5.951 c=4.373 alpha=90.00 beta=90.00 gamma=90.00
Positions (direct):
1 Mg 0.000 0.000 0.000
2 Mg 0.498 0.500 0.506
3 Sb 0.998 0.500 0.006
4 Te 0.500 0.000 0.500


Going by the computed energies, the most stable comes first: entry Q, entry P.